No. 1
Below is a geometry-optimized ZrAl2Ag structure, with properties calculated at the PBE level.

Cell and atoms, written as extended XYZ:
```
8
Lattice="2.951 0.000 0.000 0.000 5.221 0.000 0.000 0.000 9.655" Properties=species:S:1:pos:R:3 pbc="T T T"
Zr 0.000 0.000 0.000
Zr 1.476 2.611 4.828
Al 0.000 2.611 2.266
Al 0.000 2.611 7.389
Al 1.476 0.000 2.561
Al 1.476 0.000 7.094
Ag 0.000 0.000 4.828
Ag 1.476 2.611 0.000
```

Summary:
E above lowest polymorph = 261 meV per atom
Energy of formation = -0.1082 eV/atom
V = 18.6 Å³ per atom
Total energy = -4.829 eV per atom
ρ = 5649 kg/m³

***

No. 2
Below is a geometry-optimized ZrAlAg2 structure, with properties calculated at the PBE level.

Cell and atoms, written as extended XYZ:
```
4
Lattice="2.920 0.000 0.000 0.000 4.387 0.000 -1.452 0.000 5.817" Properties=species:S:1:pos:R:3 pbc="T T T"
Zr 0.000 0.000 0.000
Al 0.008 2.194 4.467
Ag 0.008 0.000 3.000
Ag 1.464 2.194 1.665
```

Summary:
Energy of formation = -0.1332 eV/atom
V = 18.6 Å³ per atom
Total energy = -4.631 eV per atom
ρ = 7440 kg/m³